# LaFeBi2Mo

Crystalline LaFeBi2Mo at its relaxed geometry (PBE, Alexandria).

Results
As for the total moment: 0.44 μB/f.u. The value obtained for the calculated density is 9446 kg/m3. As for the energy: -28.12 eV per formula unit. As for the density of states at the Fermi level: 9.2 states/eV per cell. The calculation puts the formation energy at 773 meV/atom.

Structure (POSCAR):
```
LaFeBi2Mo
1.0
-3.159 -0.515 -3.984
2.927 -3.253 -1.900
-2.511 -3.702 2.470
Fe Mo Bi La
1 1 2 1
Direct
0.000 0.000 0.000
0.500 0.500 0.500
0.000 0.000 0.500
0.500 0.000 0.000
0.000 0.500 0.000
```